Crystalline CaV6O11F at its relaxed geometry, computed with PBE with a Hubbard U.

Calculated values
- V (Å³/atom) = 13.42
- space group = P1 (1)
- energy (eV per atom) = -7.457
- total magnetization (μB per formula unit) = 9.00
- distance to the lowest polymorph of the same formula (eV per atom) = 0.0483

a b c (Å): 5.122 5.204 10.111
angles (deg): 90.05 99.63 106.06
Last column: magnetic moment on the atom in μB.
Atoms (fractional coordinates):
V1 0.103 0.932 0.953  0.24
O1 0.744 0.849 0.258  -0.06
V2 0.938 0.953 0.668  1.31
V3 0.622 0.366 0.844  1.89
Ca1 0.191 0.762 0.315  0.01
V4 0.897 0.142 0.379  1.91
V5 0.446 0.301 0.554  1.83
F1 0.795 0.380 0.225  0.01
O2 0.266 0.381 0.383  -0.04
O3 0.850 0.118 0.835  -0.07
O4 0.713 0.114 0.533  -0.06
O5 0.252 0.766 0.094  -0.04
V6 0.545 0.585 0.116  1.90
O6 0.755 0.677 0.967  -0.05
O7 0.190 0.800 0.822  -0.01
O8 0.117 0.943 0.508  -0.02
O9 0.288 0.259 0.712  -0.09
O10 0.371 0.255 0.994  -0.04
O11 0.722 0.611 0.668  -0.12